[1]
Bi3PbBr: relaxed, PBEsol.

- N(E_F): 1.064 states/eV/atom
- V: 35.7 Å³ per atom
- DFT total energy: -3.132 eV/atom
- ρ: 8.49 g/cm³

abc: 5.633 5.633 5.633
angles: 90.00 90.00 90.00
Fractional positions:
Pb: 0.500 0.500 0.500
Bi: 0.000 0.500 0.000
Bi: 0.000 0.000 0.500
Bi: 0.500 0.000 0.000
Br: 0.000 0.000 0.000

---

[2]
BiPbSeBr2: relaxed, PBEsol.

- N(E_F): 0.639 states/eV/atom
- V: 34.3 Å³ per atom
- DFT total energy: -3.067 eV/atom
- ρ: 6.34 g/cm³

abc: 5.548 5.548 5.571
angles: 90.00 90.00 90.00
Fractional positions:
Pb: 0.000 0.000 0.000
Se: 0.000 0.000 0.500
Bi: 0.500 0.500 0.500
Br: 0.000 0.500 0.000
Br: 0.500 0.000 0.000

---

[3]
Zn2BiPbBr: relaxed, PBEsol.

- N(E_F): 0.412 states/eV/atom
- V: 28.8 Å³ per atom
- DFT total energy: -2.166 eV/atom
- ρ: 7.22 g/cm³

abc: 5.015 5.015 5.732
angles: 90.00 90.00 90.00
Fractional positions:
Pb: 0.000 0.000 0.500
Zn: 0.000 0.500 0.000
Zn: 0.500 0.000 0.000
Bi: 0.500 0.500 0.500
Br: 0.000 0.000 0.000

---

Question: What is the formula in the first record?
Answer: Bi3PbBr